# 1
Below is a relaxed Mn3Se crystal, with properties calculated at the PBE level.

Values from the calculation:
* distance to the lowest polymorph of the same formula: 297 meV per atom
* formation energy (no corrections): 0.40 eV per atom
* M_tot: 21.456 Bohr magnetons per cell

```
Mn3Se
1.0
2.970 0.000 0.000
-1.485 2.572 0.000
0.000 0.000 22.503
Mn Se
9 3
Cartesian
0.000 0.000 0.000 Mn
0.000 0.000 5.658 Mn
0.000 0.000 16.845 Mn
0.000 1.715 9.344 Mn
0.000 1.715 15.002 Mn
0.000 1.715 20.660 Mn
1.485 0.857 1.843 Mn
1.485 0.857 7.501 Mn
1.485 0.857 13.159 Mn
0.000 0.000 11.251 Se
0.000 1.715 3.751 Se
1.485 0.857 18.752 Se
```

***

# 2
Below is a relaxed Dy2MgCd3 crystal, with properties calculated at the PBE level.

Values from the calculation:
* distance to the lowest polymorph of the same formula: 0 meV per atom
* M_tot: 0.000 Bohr magnetons per cell

```
Dy2MgCd3
1.0
5.148 0.000 0.000
-2.574 4.458 0.000
0.000 0.000 12.777
Dy Mg Cd
4 2 6
Cartesian
0.000 0.000 0.000 Dy
0.000 0.000 6.388 Dy
0.000 2.972 2.235 Dy
2.574 1.486 10.542 Dy
0.000 2.972 8.467 Mg
2.574 1.486 4.310 Mg
0.000 0.000 3.255 Cd
0.000 0.000 9.522 Cd
0.000 2.972 5.355 Cd
0.000 2.972 11.684 Cd
2.574 1.486 1.092 Cd
2.574 1.486 7.422 Cd
```

***

# 3
Below is a relaxed Cu5Au3Br12 crystal, with properties calculated at the PBE level.

Values from the calculation:
* formation energy (no corrections): -0.10 eV per atom
* M_tot: 0.000 Bohr magnetons per cell

```
Cu5Au3Br12
1.0
-8.188 8.188 8.188
8.188 -8.188 8.188
8.188 8.188 -8.188
Cu Au Br
20 12 48
Cartesian
0.000 0.000 0.000 Cu
4.094 4.094 -4.094 Cu
4.094 -4.094 4.094 Cu
8.188 0.000 0.000 Cu
12.281 2.047 0.000 Cu
8.188 -4.094 6.141 Cu
6.141 8.188 -4.094 Cu
6.141 0.000 4.094 Cu
4.094 6.141 0.000 Cu
8.188 4.094 2.047 Cu
-4.094 4.094 4.094 Cu
0.000 8.188 0.000 Cu
0.000 0.000 8.188 Cu
4.094 4.094 4.094 Cu
0.000 4.094 6.141 Cu
4.094 2.047 8.188 Cu
2.047 8.188 4.094 Cu
2.047 0.000 12.281 Cu
0.000 12.281 2.047 Cu
-4.094 6.141 8.188 Cu
4.094 2.047 0.000 Au
8.188 4.094 -2.047 Au
2.047 0.000 4.094 Au
10.235 0.000 4.094 Au
0.000 4.094 2.047 Au
4.094 -2.047 8.188 Au
4.094 10.235 0.000 Au
8.188 4.094 6.141 Au
-2.047 8.188 4.094 Au
6.141 8.188 4.094 Au
0.000 4.094 10.235 Au
4.094 6.141 8.188 Au
2.518 -0.195 0.308 Br
9.764 4.402 -4.289 Br
10.705 0.195 0.308 Br
9.764 -3.786 4.289 Br
7.993 -0.308 2.518 Br
12.476 -1.576 3.786 Br
0.308 2.518 -0.195 Br
11.974 3.899 -1.576 Br
4.402 4.289 -1.576 Br
7.880 2.518 0.195 Br
-0.195 0.308 2.518 Br
4.289 -1.576 4.402 Br
7.993 7.880 -2.518 Br
4.289 1.576 3.786 Br
4.402 -4.289 9.764 Br
7.880 -2.518 7.993 Br
3.786 4.289 1.576 Br
8.495 5.670 0.195 Br
4.289 9.764 -3.786 Br
7.993 0.308 5.670 Br
2.518 7.993 -0.308 Br
9.764 3.786 3.899 Br
1.576 3.786 4.289 Br
2.518 0.195 7.880 Br
5.670 7.993 0.308 Br
6.611 4.402 3.899 Br
-1.576 4.402 4.289 Br
5.670 0.195 8.495 Br
0.195 7.880 2.518 Br
3.899 -1.576 11.974 Br
-0.308 2.518 7.993 Br
4.402 3.899 6.611 Br
0.308 10.705 0.195 Br
3.786 12.476 -1.576 Br
3.899 6.611 4.402 Br
0.195 0.308 10.705 Br
3.899 9.764 3.786 Br
8.383 7.880 5.670 Br
0.308 5.670 7.993 Br
3.786 3.899 9.764 Br
-3.786 4.289 9.764 Br
7.880 5.670 8.383 Br
-4.289 9.764 4.402 Br
0.195 8.495 5.670 Br
-1.576 11.974 3.899 Br
-2.518 7.993 7.880 Br
-1.576 3.786 12.476 Br
5.670 8.383 7.880 Br
```

***

Number 1: density of states at the Fermi level 11.692 states/eV per cell. Number 2: density of states at the Fermi level 7.929 states/eV per cell. Number 3: density of states at the Fermi level 61.498 states/eV per cell.